(1)
{"formula": "ZrReBPd2", "functional": "GGA-PBE", "state": "relaxed", "total_energy_ev_per_atom": -7.942, "magnetic_moment_mub_per_cell": 0.0, "cell": [[-0.084, 1.797, 3.792], [1.576, -3.501, 1.694], [3.937, 1.476, -0.612]], "species": ["Re", "B", "Zr", "Pd", "Pd"], "fractional_positions": [[0.000, 0.000, 0.500], [0.000, 0.000, 0.000], [0.500, 0.500, 0.500], [0.000, 0.500, 0.000], [0.500, 0.000, 0.000]]}


(2)
{"formula": "FeSb2TeW", "functional": "GGA-PBE", "state": "relaxed", "raw_formation_energy_mev_per_atom": 1219, "total_energy_ev_per_atom": -5.341, "magnetic_moment_mub_per_cell": 1.5, "relative_energy_ev_per_atom": 0.0522, "cell": [[4.885, 0.000, 0.000], [0.000, 4.885, 0.000], [0.000, 0.000, 5.020]], "species": ["Sb", "Sb", "Te", "Fe", "W"], "fractional_positions": [[0.000, 0.500, 0.000], [0.500, 0.000, 0.000], [0.000, 0.000, 0.500], [0.000, 0.000, 0.000], [0.500, 0.500, 0.500]]}


(3)
{"formula": "K2CoRu", "functional": "GGA-PBE", "state": "relaxed", "total_energy_ev_per_atom": -3.942, "magnetic_moment_mub_per_cell": 0.0, "relative_energy_ev_per_atom": 0.0030, "cell": [[-2.488, 0.275, -2.929], [0.288, -2.390, -3.008], [-6.550, -6.901, 2.621]], "species": ["Co", "K", "K", "Ru"], "fractional_positions": [[0.217, 0.217, 0.345], [0.958, 0.958, 0.105], [0.790, 0.790, 0.651], [0.535, 0.535, 0.398]]}